Entry 1:
Here is crystalline GaCo2Ru at its relaxed geometry from Alexandria. Energies are from PBE-GGA.

The structure belongs to space group I-42d (No. 122); the cell edges are 3.5094, 3.5094 and 17.6373 Å and the angles 90.00°, 90.00° and 90.00°. The inequivalent atoms are Ga at (0.0000, 0.0000, 0.0000), Co at (0.2278, 0.2500, 0.1250) and Ru at (0.0000, 0.0000, 0.5000).

The total energy comes out at -6.2679 eV per atom. As for the total magnetic moment: 15.21 Bohr magnetons per cell. The formation energy from the elements is 0.361 eV per atom.

Entry 2:
Here is crystalline Ga2Co2Ru at its relaxed geometry from Alexandria. Energies are from PBE-GGA.

The structure belongs to space group I4/mmm (No. 139); the cell edges are 3.5176, 3.5176 and 11.1387 Å and the angles 90.00°, 90.00° and 90.00°. The inequivalent atoms are Ga at (0.0000, 0.5000, 0.2500), Co at (0.0000, 0.0000, 0.0986) and Ru at (0.0000, 0.0000, 0.5000).

The total energy comes out at -5.5164 eV per atom. The excess energy over the best structure of this formula in the dataset is 437 meV/atom. As for the total magnetic moment: 3.88 Bohr magnetons per cell. The formation energy from the elements is 0.392 eV per atom.

Entry 3:
Here is crystalline Ga4Co2Ru at its relaxed geometry from Alexandria. Energies are from PBE-GGA.

The structure belongs to space group I4/mmm (No. 139); the cell edges are 5.7995, 5.7995 and 5.8737 Å and the angles 90.00°, 90.00° and 90.00°. The inequivalent atoms are Ga at (0.2500, 0.2500, 0.2500), Co at (0.0000, 0.5000, 0.0000) and Ru at (0.0000, 0.0000, 0.0000).

The total energy comes out at -5.3585 eV per atom. As for the total magnetic moment: 0.84 Bohr magnetons per cell. The formation energy from the elements is -0.274 eV per atom.

Entry 4:
Here is crystalline GaCoRu2S at its relaxed geometry from Alexandria. Energies are from PBE-GGA.

The structure belongs to space group P4/mmm (No. 123); the cell edges are 4.4370, 4.4370 and 4.2970 Å and the angles 90.00°, 90.00° and 90.00°. The inequivalent atoms are Ga at (0.0000, 0.0000, 0.0000), Co at (0.0000, 0.0000, 0.5000), Ru at (0.0000, 0.5000, 0.5000) and S at (0.5000, 0.5000, 0.0000).

Its uncorrected formation energy is 107.7 kJ per mole of atoms. The total energy comes out at -5.4458 eV per atom. As for the total magnetic moment: 0.00 Bohr magnetons per cell.

Entry 5:
Here is crystalline Sc4GaCo2Ru at its relaxed geometry from Alexandria. Energies are from PBE-GGA.

The structure belongs to space group R-3m (No. 166, hexagonal axes); the cell edges are 4.5222, 4.5222 and 22.3360 Å and the angles 90.00°, 90.00° and 120.00°. The inequivalent atoms are Sc at (0.0000, 0.0000, 0.1209), Sc at (0.0000, 0.0000, 0.3722), Ga at (0.0000, 0.0000, 0.5000), Co at (0.0000, 0.0000, 0.2490) and Ru at (0.0000, 0.0000, 0.0000).

The total energy comes out at -6.9519 eV per atom. As for the total magnetic moment: 0.18 Bohr magnetons per cell. The formation energy from the elements is -0.472 eV per atom.

Entry 6:
Here is crystalline Sc2Ga5CoRu2 at its relaxed geometry from Alexandria. Energies are from PBE-GGA.

The structure belongs to space group P4/mbm (No. 127); the cell edges are 10.2357, 10.2357 and 3.0891 Å and the angles 90.00°, 90.00° and 90.00°. The inequivalent atoms are Sc at (0.1822, 0.3178, 0.0000), Ga at (0.0000, 0.5000, 0.5000), Ga at (0.0546, 0.8159, 0.5000), Co at (0.0000, 0.0000, 0.0000) and Ru at (0.1334, 0.6334, 0.0000).

The total energy comes out at -5.7016 eV per atom. As for the total magnetic moment: 0.42 Bohr magnetons per cell. The formation energy from the elements is -0.356 eV per atom.

Entry 7:
Here is crystalline Sc2Ga5Co2Ru at its relaxed geometry from Alexandria. Energies are from PBE-GGA.

The structure belongs to space group P4/mbm (No. 127); the cell edges are 8.7502, 8.7502 and 3.9460 Å and the angles 90.00°, 90.00° and 90.00°. The inequivalent atoms are Sc at (0.1757, 0.3243, 0.0000), Ga at (0.0000, 0.5000, 0.5000), Ga at (0.0660, 0.7961, 0.5000), Co at (0.1193, 0.6193, 0.0000) and Ru at (0.0000, 0.0000, 0.0000).

The total energy comes out at -5.5604 eV per atom. As for the total magnetic moment: 0.00 Bohr magnetons per cell. The formation energy from the elements is -0.432 eV per atom.

Entry 8:
Here is crystalline Sc2Ga2Co5Ru at its relaxed geometry from Alexandria. Energies are from PBE-GGA.

The structure belongs to space group P4/mbm (No. 127); the cell edges are 9.1919, 9.1919 and 3.3309 Å and the angles 90.00°, 90.00° and 90.00°. The inequivalent atoms are Sc at (0.1728, 0.3272, 0.0000), Ga at (0.1252, 0.6252, 0.0000), Co at (0.0000, 0.5000, 0.5000), Co at (0.0597, 0.8006, 0.5000) and Ru at (0.0000, 0.0000, 0.0000).

The total energy comes out at -6.5081 eV per atom. As for the total magnetic moment: 10.30 Bohr magnetons per cell. The formation energy from the elements is -0.156 eV per atom.

Entry 9:
Here is crystalline GaCoSiRu at its relaxed geometry from Alexandria. Energies are from PBE-GGA.

The structure belongs to space group F-43m (No. 216); the cell edges are 5.8354, 5.8354 and 5.8354 Å and the angles 90.00°, 90.00° and 90.00°. The inequivalent atoms are Ga at (0.0000, 0.0000, 0.0000), Co at (0.2500, 0.2500, 0.2500), Si at (0.0000, 0.0000, 0.5000) and Ru at (0.2500, 0.2500, 0.7500).

Its uncorrected formation energy is -38.6 kJ per mole of atoms. The total energy comes out at -6.6078 eV per atom. As for the total magnetic moment: 0.00 Bohr magnetons per cell.

Entry 10:
Here is crystalline Sm2Ga6CoRu at its relaxed geometry from Alexandria. Energies are from PBE-GGA.

The structure belongs to space group Fm-3m (No. 225); the cell edges are 9.2812, 9.2812 and 9.2812 Å and the angles 90.00°, 90.00° and 90.00°. The inequivalent atoms are Sm at (0.2500, 0.2500, 0.2500), Ga at (0.0000, 0.0000, 0.2427), Co at (0.0000, 0.0000, 0.0000) and Ru at (0.0000, 0.0000, 0.5000).

The total energy comes out at -4.7762 eV per atom. As for the total magnetic moment: 0.00 Bohr magnetons per cell. The formation energy from the elements is -0.378 eV per atom.

Entry 11:
Here is crystalline SmGa3CoRu at its relaxed geometry from Alexandria. Energies are from PBE-GGA.

The structure belongs to space group Cmcm (No. 63); the cell edges are 7.5815, 10.5006 and 5.7093 Å and the angles 90.00°, 90.00° and 90.00°. The inequivalent atoms are Sm at (0.0000, 0.2171, 0.2500), Ga at (0.0000, 0.3073, 0.7500), Ga at (0.2493, 0.0000, 0.0000), Co at (0.0000, 0.4755, 0.2500) and Ru at (0.0000, 0.0795, 0.7500).

The total energy comes out at -5.3265 eV per atom. As for the total magnetic moment: 0.00 Bohr magnetons per cell. The formation energy from the elements is -0.296 eV per atom.

Entry 12:
Here is crystalline TbGa4CoRu2 at its relaxed geometry from Alexandria. Energies are from PBE-GGA.

The structure belongs to space group R-3m (No. 166, hexagonal axes); the cell edges are 4.2133, 4.2133 and 25.1351 Å and the angles 90.00°, 90.00° and 120.00°. The inequivalent atoms are Tb at (0.0000, 0.0000, 0.0000), Ga at (0.0000, 0.0000, 0.1330), Ga at (0.0000, 0.0000, 0.4019), Co at (0.0000, 0.0000, 0.5000) and Ru at (0.0000, 0.0000, 0.2363).

The total energy comes out at -5.6994 eV per atom. As for the total magnetic moment: 0.00 Bohr magnetons per cell. The formation energy from the elements is -0.400 eV per atom.

Among the records above, which one has the highest total magnetic moment? GaCo2Ru

Which of these has the highest total magnetic moment? GaCo2Ru

Number 4 is which compound? GaCoRu2S

Which value of total magnetic moment does entry 9 give? 0.00 Bohr magnetons per cell